[1]
A plane-wave DFT calculation with GGA-PBE was carried out for Li4Cu5Ni2 after structural relaxation.

Cell lengths 6.751, 16.297, 2.515 Å; angles 90.00, 90.00, 90.00 degrees
Space group Pbam (No. 55)
Inequivalent atoms, fractional coordinates:
1 Li 0.075 0.155 0.000 x4
2 Li 0.199 0.425 0.000 x4
3 Cu 0.000 0.000 0.500 x2
4 Cu 0.155 0.562 0.500 x4
5 Cu 0.247 0.783 0.500 x4
6 Ni 0.048 0.685 0.000 x4

Output
- energy relative to the elements (eV/atom) = -0.019

***

[2]
A plane-wave DFT calculation with GGA-PBE was carried out for FeP2Se after structural relaxation.

Cell lengths 5.023, 5.023, 4.935 Å; angles 90.00, 90.00, 90.00 degrees
Space group I4/mmm (No. 139)
Inequivalent atoms, fractional coordinates:
1 Fe 0.000 0.000 0.000 x2
2 P 0.000 0.500 0.000 x4
3 Se 0.000 0.000 0.500 x2

Output
- uncorrected energy (eV per formula unit) = -21.82

***

Listing total magnetic moment for the structures above in their given order: 0.000 2.287 μB/f.u..